Entry 1:
10
Lattice="6.707 0.000 0.000 0.252 6.851 0.000 2.526 3.280 5.561" Properties=species:S:1:pos:R:3 comment="CsSiAu3, relaxed, DFT PBE" space_group="P-1, No. 2" de_polymorph_mev_per_atom=66 formation_energy_uncorrected_ev_per_atom=-0.2253 pbc="T T T"
Cs 1.765 2.265 0.047
Cs 7.720 7.866 5.514
Si 2.233 5.780 2.104
Si 7.252 4.350 3.457
Au 2.870 3.516 3.097
Au 4.347 9.009 5.270
Au 3.819 7.530 2.722
Au 5.665 2.601 2.839
Au 5.137 1.121 0.291
Au 6.614 6.615 2.464

=====

Entry 2:
3
Lattice="4.249 0.000 0.000 -2.125 3.680 0.000 0.000 0.000 6.107" Properties=species:S:1:pos:R:3 comment="CsSiAu, relaxed, DFT PBE" space_group="P-6m2, No. 187" de_polymorph_mev_per_atom=150 formation_energy_uncorrected_ev_per_atom=-0.0704 pbc="T T T"
Cs 0.000 0.000 0.000
Si 0.000 2.453 3.053
Au 2.125 1.227 3.053

=====

Entry 3:
6
Lattice="-2.343 4.234 5.494 2.343 -4.234 5.494 2.343 4.234 -5.494" Properties=species:S:1:pos:R:3 comment="CsSiAu, relaxed, DFT PBE" space_group="Immm, No. 71" de_polymorph_mev_per_atom=0 formation_energy_uncorrected_ev_per_atom=-0.2209 pbc="T T T"
Cs 0.000 0.000 2.198
Cs 0.000 0.000 8.790
Si 0.000 3.107 0.000
Si 0.000 5.362 0.000
Au 2.343 2.468 0.000
Au 0.000 1.766 5.494

=====

Entry 4:
5
Lattice="-2.329 2.329 6.589 2.329 -2.329 6.589 2.329 2.329 -6.589" Properties=species:S:1:pos:R:3 comment="CsSi2Au2, relaxed, DFT PBE" space_group="I4/mmm, No. 139" de_polymorph_mev_per_atom=0 formation_energy_uncorrected_ev_per_atom=-0.0635 pbc="T T T"
Cs 0.000 0.000 0.000
Si 2.329 0.000 3.294
Si 0.000 2.329 3.294
Au 0.000 0.000 4.231
Au 0.000 0.000 8.947

=====

Entry 5:
10
Lattice="5.066 0.000 0.000 -2.533 4.387 0.000 0.000 0.000 11.139" Properties=species:S:1:pos:R:3 comment="CsSiAu3, relaxed, DFT PBE" space_group="P6_3/mmc, No. 194" de_polymorph_mev_per_atom=551 formation_energy_uncorrected_ev_per_atom=0.2597 pbc="T T T"
Cs 0.000 2.925 2.785
Cs 2.533 1.462 8.354
Si 0.000 0.000 0.000
Si 0.000 0.000 5.569
Au 0.000 0.000 2.785
Au 0.000 0.000 8.354
Au 0.000 2.925 5.883
Au 0.000 2.925 10.825
Au 2.533 1.462 0.314
Au 2.533 1.462 5.255

=====

Entry 6:
5
Lattice="-3.586 3.586 3.773 3.586 -3.586 3.773 3.586 3.586 -3.773" Properties=species:S:1:pos:R:3 comment="Cs2SiAu2, relaxed, DFT PBE" space_group="I4/mmm, No. 139" de_polymorph_mev_per_atom=130 formation_energy_uncorrected_ev_per_atom=-0.0108 pbc="T T T"
Cs 3.586 0.000 1.886
Cs 0.000 3.586 1.886
Si 0.000 0.000 0.000
Au 0.000 0.000 2.418
Au 0.000 0.000 5.127